NaHoCl4 after structural relaxation. Source: Alexandria via LeMat-Bulk, functional PBE.

VASP energy, eV per atom: -4.328
Excess energy over the best structure of this formula in the dataset, eV/atom: 0.000
E_form (uncorrected), eV per atom: -2.1140

Unit cell a=6.738 b=6.780 c=7.065 alpha=88.73 beta=86.93 gamma=77.40
Space group P-1 (No. 2)
Symmetry-distinct sites (fractional):
Na1 0.230 0.196 0.028 (multiplicity 2)
Ho1 0.211 0.698 0.448 (multiplicity 2)
Cl1 0.037 0.504 0.739 (multiplicity 2)
Cl2 0.098 0.004 0.701 (multiplicity 2)
Cl3 0.390 0.800 0.141 (multiplicity 2)
Cl4 0.443 0.319 0.377 (multiplicity 2)